Compound: Ac3Nd5
Source: the Alexandria database
Functional: GGA-PBE
Structure: relaxed

Calculated values
SG: P4/mmm, No. 123
Magnetic moment in Bohr magnetons per cell: 0.00
Calculated density in g/cm3: 7.506
Distance to the lowest polymorph of the same formula in meV/atom: 0

Cell: 3.8312 3.8312 21.1330 Å, 90.00 90.00 90.00°
Closest atoms and distances in Å follow each position.
Sites, in units of the cell vectors:
Ac: 0.0000 0.0000 0.0000  8 Nd 3.82, 4 Ac 3.83
Ac: 0.5000 0.5000 0.3730  8 Nd 3.81-3.82, 4 Ac 3.83
Ac: 0.5000 0.5000 0.6270  8 Nd 3.81-3.82, 4 Ac 3.83
Nd: 0.0000 0.0000 0.2454  8 Nd 3.68-3.83, 4 Ac 3.82
Nd: 0.0000 0.0000 0.5000  8 Ac 3.81, 4 Nd 3.83
Nd: 0.0000 0.0000 0.7546  8 Nd 3.68-3.83, 4 Ac 3.82
Nd: 0.5000 0.5000 0.1277  8 Nd 3.68-3.83, 4 Ac 3.82
Nd: 0.5000 0.5000 0.8723  8 Nd 3.68-3.83, 4 Ac 3.82